# 1
Density functional theory data (GGA-PBE) for a relaxed structure of In2HgW.

The formation energy is 488 meV/atom. The value obtained for the density of states at the Fermi level is 5.07 states/eV/cell. As for the total energy: -4.20 eV/atom. For the density, the calculation gives 10.63 g/cm3.

The structure belongs to space group Imm2 (No. 44); the cell edges are 2.881, 4.847 and 13.739 Å and the angles 90.00°, 90.00° and 90.00°. Symmetry generates all atoms from In at (0.000, 0.000, 0.000), In at (0.000, 0.500, 0.187), Hg at (0.000, 0.000, 0.368) and W at (0.000, 0.500, 0.682).

# 2
Density functional theory data (GGA-PBE) for a relaxed structure of HWS3.

The value obtained for the density of states at the Fermi level is 2.72 states/eV/cell. As for the distance to the lowest polymorph of the same formula: 0 meV per atom. As for the total energy: -5.29 eV/atom. For the density, the calculation gives 4.56 g/cm3.

The structure belongs to space group Pm-3m (No. 221); the cell edges are 4.677, 4.677 and 4.677 Å and the angles 90.00°, 90.00° and 90.00°. Symmetry generates all atoms from H at (0.000, 0.000, 0.000), W at (0.500, 0.500, 0.500) and S at (0.000, 0.500, 0.500).

# 3
Density functional theory data (GGA-PBE) for a relaxed structure of CsTlO.

The value obtained for the density of states at the Fermi level is 0.00 states/eV/cell. As for the total energy: -3.67 eV/atom. As for the raw formation energy: -944.4 meV/atom. For the density, the calculation gives 6.49 g/cm3.

The structure belongs to space group C2/m (No. 12); the cell edges are 14.448, 3.879 and 6.719 Å and the angles 90.00°, 106.30° and 90.00°. Symmetry generates all atoms from Cs at (0.123, 0.000, 0.343), Tl at (0.151, 0.500, 0.859) and O at (0.249, 0.000, 0.794).

# 4
Density functional theory data (GGA-PBE) for a relaxed structure of Cs3U2BiSe9.

The value obtained for the density of states at the Fermi level is 3.82 states/eV/cell. As for the total energy: -5.02 eV/atom. As for the raw formation energy: -992.3 meV/atom. For the density, the calculation gives 5.84 g/cm3.

The structure belongs to space group P-3m1 (No. 164); the cell edges are 7.8104, 7.8104 and 9.6535 Å and the angles 90.00°, 90.00° and 120.00°. Symmetry generates all atoms from Cs at (0.0000, 0.0000, 0.0000), Cs at (0.3333, 0.6667, 0.6627), U at (0.3333, 0.6667, 0.1645), Bi at (0.0000, 0.0000, 0.5000), Se at (0.0000, 0.5000, 0.0000) and Se at (0.1718, 0.3436, 0.3181).

# 5
Density functional theory data (GGA-PBE) for a relaxed structure of Na2Zn2InPd5.

The formation energy is -376 meV/atom. The value obtained for the density of states at the Fermi level is 5.34 states/eV/cell. As for the total energy: -3.76 eV/atom. For the density, the calculation gives 7.78 g/cm3.

The structure belongs to space group P4/mbm (No. 127); the cell edges are 9.627, 9.627 and 3.794 Å and the angles 90.00°, 90.00° and 90.00°. Symmetry generates all atoms from Na at (0.174, 0.326, 0.000), Zn at (0.125, 0.625, 0.000), In at (0.000, 0.000, 0.000), Pd at (0.000, 0.500, 0.500) and Pd at (0.068, 0.795, 0.500).

# 6
Density functional theory data (GGA-PBE) for a relaxed structure of Nd6Cd2Co.

The formation energy is -114 meV/atom. The value obtained for the density of states at the Fermi level is 18.89 states/eV/cell. As for the total energy: -4.29 eV/atom. For the density, the calculation gives 6.91 g/cm3.

The structure belongs to space group P2_1/c (No. 14); the cell edges are 7.435, 7.308 and 12.512 Å and the angles 90.00°, 125.69° and 90.00°. Symmetry generates all atoms from Nd at (0.180, 0.000, 0.255), Nd at (0.286, 0.246, 0.538), Nd at (0.289, 0.749, 0.038), Cd at (0.258, 0.502, 0.257) and Co at (0.000, 0.000, 0.000).

# 7
Density functional theory data (GGA-PBE) for a relaxed structure of SmPaGa2O8.

The value obtained for the density of states at the Fermi level is 24.15 states/eV/cell. As for the total energy: -7.34 eV/atom. As for the raw formation energy: -2346.3 meV/atom. For the density, the calculation gives 6.34 g/cm3.

The structure belongs to space group I-4m2 (No. 119); the cell edges are 7.081, 7.081 and 6.774 Å and the angles 90.00°, 90.00° and 90.00°. Symmetry generates all atoms from Sm at (0.000, 0.000, 0.000), Pa at (0.000, 0.500, 0.750), Ga at (0.000, 0.000, 0.500), Ga at (0.000, 0.500, 0.250), O at (0.000, 0.194, 0.686) and O at (0.000, 0.322, 0.052).

# 8
Density functional theory data (GGA-PBE) for a relaxed structure of BaHg2P.

The formation energy is -365 meV/atom. The value obtained for the density of states at the Fermi level is 3.16 states/eV/cell. As for the total energy: -2.35 eV/atom. For the density, the calculation gives 8.00 g/cm3.

The structure belongs to space group Cm (No. 8); the cell edges are 7.804, 4.503 and 7.217 Å and the angles 90.00°, 111.19° and 90.00°. Symmetry generates all atoms from Ba at (0.000, 0.000, 0.000), Hg at (0.029, 0.500, 0.586), Hg at (0.281, 0.500, 0.341) and P at (0.242, 0.000, 0.726).